The following is a PBE calculation of a geometry-optimized Li2AsIr structure, from Alexandria via LeMat-Bulk.

a = 2.871 Å, b = 2.871 Å, c = 9.030 Å
α = 90.00°, β = 90.00°, γ = 118.74°
Sites, in units of the cell vectors:
1 As 0.000 0.000 0.513
2 Ir 0.500 0.500 0.739
3 Li 0.000 0.000 0.979
4 Li 0.500 0.500 0.270

## Properties
Uncorrected energy: -4.3157 eV per atom
DFT formation energy: 0.019 eV per atom